VASP calculation (PBE) on an optimized crystal structure of Ho4PdRu.

Properties
calculated total energy = -569.756 eV for the cell shown
ρ = 9.84 Mg/m³
ΔE_f = -472 meV/atom

a = 13.278 Å, b = 13.278 Å, c = 13.278 Å
α = 90.00°, β = 90.00°, γ = 90.00°
Space group F-43m (No. 216)
One atom of each set of equivalent atoms:
Ho (0.000, 0.000, 0.188) [24 per cell]
Ho (0.057, 0.250, 0.750) [24 per cell]
Ho (0.103, 0.103, 0.397) [16 per cell]
Pd (0.160, 0.160, 0.160) [16 per cell]
Ru (0.110, 0.110, 0.610) [16 per cell]